Arrangement 1

First-principles (PBE-GGA) data for a relaxed CdIBrO2 crystal, as listed in Alexandria via LeMat-Bulk.

Values from the calculation:
Size of the total moment: 0.00 Bohr magnetons per cell

Cell lengths 4.064, 4.064, 7.390 Å; angles 90.00, 90.00, 90.00 degrees
Space group P4/mmm (No. 123)
One atom of each set of equivalent atoms:
Cd1 0.000 0.000 0.000 x1
I1 0.500 0.500 0.000 x1
Br1 0.500 0.500 0.500 x1
O1 0.000 0.500 0.500 x2



Arrangement 2

First-principles (PBE-GGA) data for a relaxed CdIBrO2 crystal, as listed in Alexandria via LeMat-Bulk.

Values from the calculation:
Size of the total moment: 1.44 Bohr magnetons per cell

Cell lengths 4.231, 4.231, 7.442 Å; angles 90.00, 90.00, 90.00 degrees
Space group P4/mmm (No. 123)
One atom of each set of equivalent atoms:
Cd1 0.000 0.000 0.000 x1
I1 0.000 0.000 0.500 x1
Br1 0.500 0.500 0.500 x1
O1 0.000 0.500 0.000 x2



Computed energies relative to the best structure, in kJ/mol of atoms: arrangement 1 12.6; arrangement 2 0.0



Arrangement 1

First-principles (PBE-GGA) data for a relaxed RbCdIBr2 crystal, as listed in Alexandria via LeMat-Bulk.

Values from the calculation:
Size of the total moment: 0.00 Bohr magnetons per cell

Cell lengths 8.338, 6.176, 9.247 Å; angles 90.00, 103.58, 90.00 degrees
Space group P2_1/m (No. 11)
One atom of each set of equivalent atoms:
Rb1 0.219 0.250 0.348 x2
Cd1 0.411 0.250 0.842 x2
I1 0.075 0.250 0.721 x2
Br1 0.411 0.750 0.355 x2
Br2 0.455 0.750 0.870 x2



Arrangement 2

First-principles (PBE-GGA) data for a relaxed RbCdIBr2 crystal, as listed in Alexandria via LeMat-Bulk.

Values from the calculation:
Size of the total moment: 0.00 Bohr magnetons per cell

Cell lengths 5.597, 5.597, 5.979 Å; angles 90.00, 90.00, 90.00 degrees
Space group P4/mmm (No. 123)
One atom of each set of equivalent atoms:
Rb1 0.000 0.000 0.000 x1
Cd1 0.500 0.500 0.500 x1
I1 0.500 0.500 0.000 x1
Br1 0.000 0.500 0.500 x2



Computed energies relative to the best structure, in kJ/mol of atoms: arrangement 1 0.0; arrangement 2 5.3



Arrangement 1

First-principles (PBE-GGA) data for a relaxed CdSbI2Br crystal, as listed in Alexandria via LeMat-Bulk.

Values from the calculation:
Size of the total moment: 1.43 Bohr magnetons per cell

Cell lengths 5.932, 5.932, 5.913 Å; angles 90.00, 90.00, 90.00 degrees
Space group P4/mmm (No. 123)
One atom of each set of equivalent atoms:
Cd1 0.000 0.000 0.000 x1
Sb1 0.500 0.500 0.000 x1
I1 0.000 0.500 0.500 x2
Br1 0.500 0.500 0.500 x1



Arrangement 2

First-principles (PBE-GGA) data for a relaxed CdSbI2Br crystal, as listed in Alexandria via LeMat-Bulk.

Values from the calculation:
Size of the total moment: 0.16 Bohr magnetons per cell

Cell lengths 5.682, 5.682, 5.915 Å; angles 90.00, 90.00, 90.00 degrees
Space group P4/mmm (No. 123)
One atom of each set of equivalent atoms:
Cd1 0.000 0.000 0.000 x1
Sb1 0.000 0.000 0.500 x1
I1 0.000 0.500 0.000 x2
Br1 0.500 0.500 0.500 x1



Computed energies relative to the best structure, in kJ/mol of atoms: arrangement 1 25.7; arrangement 2 0.0